Material: CaMg2Cu2
Method: DFT, meta-GGA SCAN
State: single point on PBEsol structure

Cell and atoms, written as POSCAR:
```
CaMg2Cu2
1.0
-2.305 3.806 -0.971
-4.887 -0.609 -1.463
-3.180 1.729 3.646
Mg Cu Ca
2 2 1
Direct
0.796 0.704 0.704
0.204 0.296 0.296
0.500 0.304 0.696
0.500 0.696 0.304
0.000 0.000 0.000
```

* E_form: -0.064 eV per atom
* total DFT energy (no corrections): -10.07 eV per atom
* energy above the most stable polymorph in this dataset: 64.5 meV per atom

=====

Material: CaMg2Cu2
Method: DFT, meta-GGA SCAN
State: single point on PBEsol structure

Cell and atoms, written as POSCAR:
```
CaMg2Cu2
1.0
-2.634 1.803 2.552
-3.393 -0.322 -3.274
-1.874 -9.339 4.664
Mg Cu Ca
4 4 2
Direct
0.250 0.253 0.505
0.250 0.850 0.895
0.750 0.150 0.105
0.750 0.747 0.495
0.750 0.207 0.352
0.250 0.372 0.984
0.750 0.628 0.016
0.250 0.793 0.648
0.250 0.693 0.243
0.750 0.307 0.757
```

* E_form: -0.096 eV per atom
* total DFT energy (no corrections): -10.10 eV per atom
* energy above the most stable polymorph in this dataset: 32.5 meV per atom

=====

Material: CaMg14CuO16
Method: DFT, meta-GGA SCAN
State: single point on PBEsol structure

Cell and atoms, written as POSCAR:
```
CaMg14CuO16
1.0
-0.612 4.230 -0.166
-5.098 -1.003 -6.740
-6.705 -0.766 5.186
O Mg Cu Ca
16 14 1 1
Direct
0.000 0.250 0.500
0.000 0.737 0.000
0.000 0.000 0.737
0.000 0.500 0.250
0.500 0.251 0.749
0.000 0.500 0.750
0.500 0.500 0.500
0.500 0.749 0.749
0.500 0.500 0.000
0.500 0.000 0.000
0.500 0.251 0.251
0.500 0.000 0.500
0.500 0.749 0.251
0.000 0.750 0.500
0.000 0.263 0.000
0.000 0.000 0.263
0.000 0.746 0.254
0.500 0.748 0.500
0.500 0.252 0.500
0.000 0.254 0.746
0.500 0.500 0.252
0.500 0.256 0.000
0.500 0.500 0.748
0.000 0.254 0.254
0.000 0.746 0.746
0.500 0.744 0.000
0.000 0.500 0.000
0.500 0.000 0.256
0.000 0.000 0.500
0.500 0.000 0.744
0.000 0.500 0.500
0.000 0.000 0.000
```

* raw formation energy: -2.8359 eV/atom
* total DFT energy (no corrections): -8.90 eV per atom
* energy above the most stable polymorph in this dataset: 8.9 meV per atom

=====

Material: CaMg14CuO16
Method: DFT, meta-GGA SCAN
State: single point on PBEsol structure

Cell and atoms, written as POSCAR:
```
CaMg14CuO16
1.0
4.277 0.000 0.000
0.000 8.443 0.000
0.000 0.000 8.579
Mg O Ca Cu
14 16 1 1
Direct
0.500 0.500 0.250
0.000 0.000 0.500
0.500 0.749 0.500
0.000 0.745 0.746
0.500 0.500 0.750
0.500 0.000 0.744
0.000 0.255 0.746
0.000 0.500 0.500
0.500 0.257 0.000
0.500 0.000 0.256
0.500 0.251 0.500
0.500 0.743 0.000
0.000 0.745 0.254
0.000 0.255 0.254
0.000 0.734 0.000
0.000 0.500 0.261
0.000 0.266 0.000
0.500 0.500 0.000
0.500 0.500 0.500
0.500 0.250 0.249
0.000 0.000 0.262
0.500 0.000 0.000
0.500 0.250 0.751
0.500 0.750 0.751
0.000 0.000 0.738
0.500 0.000 0.500
0.000 0.749 0.500
0.500 0.750 0.249
0.000 0.500 0.739
0.000 0.251 0.500
0.000 0.000 0.000
0.000 0.500 0.000
```

* raw formation energy: -2.8448 eV/atom
* total DFT energy (no corrections): -8.91 eV per atom
* energy above the most stable polymorph in this dataset: 0.0 meV per atom